5
Lattice="4.3418 0.0000 0.0000 0.0000 4.3418 0.0000 0.0000 0.0000 4.3929" Properties=species:S:1:pos:R:3 comment="FeCo2CuH PBE optimized geometry" de_polymorph_mev_per_atom=1727 spacegroup=P4/mmm volume_a3_per_atom=16.562 pbc="T T T"
Fe 0.0000 0.0000 0.0000
Co 0.0000 2.1709 2.1964
Co 2.1709 0.0000 2.1964
Cu 0.0000 0.0000 2.1964
H 2.1709 2.1709 0.0000